The following is a PBE with a Hubbard U calculation of a relaxed structure of Ba2BeNiO4, from the Alexandria database.

Geometry as POSCAR:
```
Ba2BeNiO4
1.0
0.000 5.386 9.927
2.334 0.000 9.927
2.334 5.386 0.000
Ba Be Ni O
4 2 2 8
Direct
0.053 0.053 0.697 Ba
0.303 0.303 0.947 Ba
0.697 0.697 0.053 Ba
0.947 0.947 0.303 Ba
0.375 0.375 0.375 Be
0.625 0.625 0.625 Be
0.125 0.125 0.125 Ni
0.875 0.875 0.875 Ni
0.022 0.637 0.537 O
0.304 0.537 0.637 O
0.363 0.978 0.696 O
0.463 0.696 0.978 O
0.537 0.304 0.022 O
0.637 0.022 0.304 O
0.696 0.463 0.363 O
0.978 0.363 0.463 O
```

## Properties
E_tot = -92.1 eV/cell
Calculated density = 5.4 g cm⁻³